# ScGe3Os

ScGe3Os at its PBEsol-relaxed geometry (SCAN, Alexandria via LeMat-Bulk).

Cell: 4.746 4.746 4.746 Å, 90.00 90.00 90.00°
Space group Pm-3m (No. 221)
Symmetry-distinct sites (fractional):
Sc: 0.000 0.000 0.000 (multiplicity 1)
Ge: 0.000 0.500 0.500 (multiplicity 3)
Os: 0.500 0.500 0.500 (multiplicity 1)

Formation energy from the elements = 1.8 eV/f.u.
Mass density = 7.04 g/cm3
M_tot = 0.000 μB/atom
Calculated total energy = -141.6 eV per cell

# ScGe2Os

ScGe2Os at its PBEsol-relaxed geometry (SCAN, Alexandria via LeMat-Bulk).

Cell: 9.237 10.299 8.131 Å, 90.00 90.00 90.00°
Space group Pbam (No. 55)
Symmetry-distinct sites (fractional):
Sc: 0.164 0.177 0.000 (multiplicity 4)
Sc: 0.177 0.449 0.245 (multiplicity 8)
Ge: 0.031 0.618 0.500 (multiplicity 4)
Ge: 0.034 0.615 0.000 (multiplicity 4)
Ge: 0.133 0.901 0.500 (multiplicity 4)
Ge: 0.136 0.898 0.000 (multiplicity 4)
Ge: 0.163 0.179 0.347 (multiplicity 8)
Os: 0.000 0.000 0.247 (multiplicity 4)
Os: 0.087 0.737 0.248 (multiplicity 8)

Formation energy from the elements = -2.6 eV/f.u.
Mass density = 9.80 g/cm3
M_tot = 0.000 μB/atom
Calculated total energy = -1522.4 eV per cell